A PBEsol-optimized structure of CuAsRh2. Source: the Alexandria database, functional meta-GGA SCAN.

a = 2.881 Å, b = 4.181 Å, c = 5.155 Å
α = 113.92°, β = 106.22°, γ = 90.00°
Fractional coordinates of all 4 atoms:
1 As 0.506 0.506 0.012
2 Cu 0.772 0.272 0.544
3 Rh 0.000 0.000 0.000
4 Rh 0.222 0.722 0.444

Values from the calculation:
**ΔE_f**: -0.120 eV/atom
**Final energy**: -103.41 eV/cell
**Symmetry**: No. 44
**DOS at the Fermi energy**: 2.70 states/eV/cell